Ca3Mo3N5 | PBE | optimized geometry

## Properties
**Theoretical density**: 5.04 g/cm3
**Formation energy (no corrections)**: -6.54 eV/f.u.
**Electronic total energy**: -173.34 eV/cell

a = 5.8077 Å, b = 7.3906 Å, c = 8.1369 Å
α = 105.69°, β = 101.93°, γ = 102.30°
Fractional positions:
1 Mo 0.2373 0.0031 0.4251
2 Mo 0.1124 0.6820 0.0112
3 Mo 0.8410 0.1114 0.2655
4 Mo 0.8876 0.3180 0.9888
5 Mo 0.7627 0.9969 0.5749
6 Mo 0.1590 0.8886 0.7345
7 Ca 0.6686 0.8308 0.8740
8 Ca 0.8106 0.4420 0.6004
9 Ca 0.6763 0.6482 0.2018
10 Ca 0.3314 0.1692 0.1260
11 Ca 0.1894 0.5580 0.3996
12 Ca 0.3237 0.3518 0.7982
13 N 0.7493 0.5219 0.8965
14 N 0.9908 0.0922 0.8350
15 N 0.2507 0.4781 0.1035
16 N 0.4470 0.8837 0.6054
17 N 0.9428 0.7821 0.4879
18 N 0.0572 0.2179 0.5121
19 N 0.5530 0.1163 0.3946
20 N 0.2183 0.6512 0.7944
21 N 0.7817 0.3488 0.2056
22 N 0.0092 0.9078 0.1650

VSnBi | PBE | optimized geometry

## Properties
**Theoretical density**: 9.67 g/cm3
**Electronic total energy**: -33.48 eV/cell
**Energy of formation from the pure elements**: 8.5 kJ/mol of atoms

a = 5.6162 Å, b = 5.6162 Å, c = 5.5515 Å
α = 104.09°, β = 104.09°, γ = 121.24°
Fractional positions:
1 Sn 0.1589 0.1589 0.3178
2 Sn 0.8411 0.8411 0.6822
3 V 0.7500 0.2500 0.5000
4 V 0.2500 0.7500 0.5000
5 Bi 0.6577 0.3423 0.0000
6 Bi 0.3423 0.6577 0.0000

SrHgW2 | PBE | optimized geometry

## Properties
**Theoretical density**: 11.73 g/cm3
**Electronic total energy**: -24.22 eV/cell
**Energy of formation from the pure elements**: 88.5 kJ/mol of atoms

a = 6.0126 Å, b = 6.0126 Å, c = 6.0126 Å
α = 147.49°, β = 126.54°, γ = 63.98°
Fractional positions:
1 W 0.7784 0.2784 0.5000
2 W 0.9524 0.9524 0.0000
3 Hg 0.5285 0.5285 0.0000
4 Sr 0.2406 0.7406 0.5000

KIn4Ag3 | PBE | optimized geometry

## Properties
**Theoretical density**: 6.35 g/cm3
**Electronic total energy**: -20.87 eV/cell
**Energy of formation from the pure elements**: -3.1 kJ/mol of atoms

a = 4.8750 Å, b = 4.8750 Å, c = 9.0403 Å
α = 90.00°, β = 90.00°, γ = 90.00°
Fractional positions:
1 Ag 0.0000 0.0000 0.0000
2 Ag 0.5000 0.5000 0.3452
3 Ag 0.5000 0.5000 0.6548
4 In 0.5000 0.0000 0.8223
5 In 0.0000 0.5000 0.1777
6 In 0.0000 0.5000 0.8223
7 In 0.5000 0.0000 0.1777
8 K 0.0000 0.0000 0.5000